Record 1
PtPbS2N, optimized geometry, DFT PBE; formation energy from raw total energies = 0.343 eV/atom; ρ = 7.59 g/cm3; space-group type = P4/mmm; crystal system = tetragonal
1.0
5.285 0.000 0.000
0.000 5.285 0.000
0.000 0.000 3.761
Pt Pb S N
1 1 2 1
Cartesian
0.000 0.000 0.000 Pt
2.643 2.643 1.880 Pb
0.000 2.643 0.000 S
2.643 0.000 0.000 S
0.000 0.000 1.880 N

***

Record 2
Sr2CaMg5, optimized geometry, DFT PBE; calculated formation energy = -0.03 eV/atom; ρ = 2.21 g/cm3; space-group type = I4/mmm; crystal system = tetragonal
1.0
-2.814 2.814 7.985
2.814 -2.814 7.985
2.814 2.814 -7.985
Sr Ca Mg
2 1 5
Cartesian
0.000 0.000 3.885 Sr
0.000 0.000 12.086 Sr
0.000 0.000 7.985 Ca
0.000 0.000 0.000 Mg
2.814 0.000 1.722 Mg
2.814 0.000 6.264 Mg
0.000 2.814 1.722 Mg
0.000 2.814 6.264 Mg

***

Record 3
Li2Cu, optimized geometry, DFT PBE; calculated formation energy = -0.01 eV/atom; ρ = 2.73 g/cm3; space-group type = Fd-3m; crystal system = cubic
1.0
0.000 5.732 5.732
5.732 0.000 5.732
5.732 5.732 0.000
Li Cu
16 8
Cartesian
0.000 0.000 0.000 Li
2.866 2.866 0.000 Li
2.866 0.000 2.866 Li
4.299 4.299 2.090 Li
4.299 2.090 4.299 Li
6.507 4.299 4.299 Li
7.165 7.165 4.956 Li
7.165 4.956 7.165 Li
9.373 7.165 7.165 Li
0.000 2.866 2.866 Li
2.090 4.299 4.299 Li
4.299 6.507 4.299 Li
4.299 4.299 6.507 Li
4.956 7.165 7.165 Li
7.165 9.373 7.165 Li
7.165 7.165 9.373 Li
9.113 5.216 5.216 Cu
2.350 2.350 2.350 Cu
6.248 6.248 2.350 Cu
6.248 2.350 6.248 Cu
5.216 9.113 5.216 Cu
5.216 5.216 9.113 Cu
9.113 9.113 9.113 Cu
2.350 6.248 6.248 Cu

***

Record 4
SnHBrF2, optimized geometry, DFT PBE; electronic total energy = -4.076 eV/atom; ρ = 3.41 g/cm3; space-group type = P2_1/m; crystal system = monoclinic
1.0
6.643 0.000 0.000
0.000 4.061 0.000
-0.949 0.000 8.587
Sn H Br F
2 2 2 4
Cartesian
1.396 1.015 1.144 Sn
4.297 3.046 7.442 Sn
0.968 3.046 6.982 H
4.726 1.015 1.605 H
0.828 3.046 2.979 Br
4.866 1.015 5.607 Br
-0.157 3.046 7.909 F
1.795 3.046 6.440 F
3.898 1.015 2.147 F
5.851 1.015 0.678 F